An optimized crystal structure of LiTbS2O8, computed with PBE.

```
LiTbS2O8
1.0
7.5884 0.0000 0.0000
0.0000 7.5884 0.0000
0.0000 0.0000 6.0036
Li Tb S O
2 2 4 16
Direct
0.0000 0.5000 0.2500
0.5000 0.0000 0.7500
0.0000 0.5000 0.7500
0.5000 0.0000 0.2500
0.2231 0.2769 0.2500
0.2769 0.7769 0.7500
0.7231 0.2231 0.7500
0.7769 0.7231 0.2500
0.0941 0.3213 0.4337
0.0936 0.7948 0.8313
0.1787 0.4059 0.0663
0.2052 0.0936 0.1687
0.2948 0.5936 0.6687
0.3213 0.9059 0.5663
0.4064 0.2948 0.3313
0.4059 0.8213 0.9337
0.5941 0.1787 0.9337
0.5936 0.7052 0.3313
0.6787 0.0941 0.5663
0.7052 0.4064 0.6687
0.7948 0.9064 0.1687
0.8213 0.5941 0.0663
0.9064 0.2052 0.8313
0.9059 0.6787 0.4337
```

Summary:
* total energy: -155.41 eV for the cell shown
* total magnetic moment: 0.0 μB per cell
* uncorrected formation energy: -1937 meV per atom